1) First-principles (PBE-GGA) data for CrCd2Br after structural relaxation, as listed in Alexandria via LeMat-Bulk.

Results
**Symmetry**: I-42d
**D(E_F)**: 0.380 states/eV per atom

Cell: 6.607 6.607 6.607 Å, 100.74 100.74 128.85°
Sites, in units of the cell vectors:
Cr 0.000 0.000 0.000
Cr 0.750 0.250 0.500
Cd 0.105 0.625 0.980
Cd 0.375 0.355 0.480
Cd 0.645 0.125 0.020
Cd 0.875 0.895 0.520
Br 0.250 0.750 0.500
Br 0.500 0.500 0.000


2) First-principles (PBE-GGA) data for CrCd2Br after structural relaxation, as listed in Alexandria via LeMat-Bulk.

Results
**Symmetry**: Pm
**D(E_F)**: 0.565 states/eV per atom

Cell: 3.536 3.348 8.564 Å, 90.00 101.41 90.00°
Sites, in units of the cell vectors:
Cr 0.000 0.000 0.000
Cd 0.205 0.000 0.424
Cd 0.597 0.500 0.201
Br 0.892 0.500 0.779


Relative energies, in meV per atom, with the most stable structure set to zero: 1) 132; 2) 0.